The following is a DFT calculation (PBE) of a relaxed structure of LiCaAl2Zn4.

Calculated values
Formation enthalpy at 0 K: -171 meV per atom
V: 17.74 Å³/atom

Unit cell a=8.884 b=8.884 c=8.884 alpha=28.59 beta=28.59 gamma=28.59
Fractional coordinates of all 8 atoms:
Li 0.000 0.000 0.000
Ca 0.500 0.500 0.500
Al 0.258 0.258 0.258
Al 0.742 0.742 0.742
Zn 0.101 0.101 0.101
Zn 0.368 0.368 0.368
Zn 0.632 0.632 0.632
Zn 0.899 0.899 0.899